(1)
TlCr2 after structural relaxation, computed with GGA-PBE.

Cell: 5.6963 5.6963 6.9486 Å, 113.23 113.23 30.74°
With the nearest neighbours (Å) after each atom.
Atoms (fractional coordinates):
Tl 0.1594 0.1594 0.1251  8 Cr 2.91-3.12, 3 Tl 3.02-3.21
Tl 0.8406 0.8406 0.8749  8 Cr 2.91-3.12, 3 Tl 3.02-3.21
Cr 0.1364 0.1364 0.5386  4 Cr 2.48-2.52
Cr 0.4686 0.4686 0.2822  4 Cr 2.48-2.52
Cr 0.5314 0.5314 0.7178  4 Cr 2.48-2.52
Cr 0.8636 0.8636 0.4614  4 Cr 2.48-2.52

Calculated values
Raw total energy in eV/cell: -40.092
Calculated density in kg/m3: 9738
Distance to the lowest polymorph of the same formula in eV per atom: 0.082
ΔE_f in meV/atom: 522


(2)
NbZnSiTe2 after structural relaxation, computed with GGA-PBE.

Cell: 5.3806 5.3806 5.0608 Å, 90.00 90.00 90.00°
With the nearest neighbours (Å) after each atom.
Atoms (fractional coordinates):
Nb 0.0000 0.0000 0.0000  2 Zn 2.53, 4 Te 2.69
Zn 0.0000 0.0000 0.5000  2 Nb 2.53
Si 0.5000 0.5000 0.5000  8 Te 3.69, 4 Zn 3.80
Te 0.0000 0.5000 0.0000  2 Nb 2.69
Te 0.5000 0.0000 0.0000  2 Nb 2.69

Calculated values
Raw total energy in eV/cell: -19.360
Calculated density in kg/m3: 5005
Formation energy from raw total energies in meV/atom: 738


(3)
PmY15Ho4 after structural relaxation, computed with GGA-PBE.

Cell: 5.0419 5.0419 25.2188 Å, 90.00 90.00 90.00°
With the nearest neighbours (Å) after each atom.
Atoms (fractional coordinates):
Pm 0.0000 0.0000 0.0000  12 Y 3.57-3.59
Y 0.0000 0.5000 0.1013  2 Ho 3.56, 8 Y 3.56-3.59, 2 Pm 3.59
Y 0.0000 0.5000 0.3005  8 Y 3.55-3.57, 4 Ho 3.56
Y 0.0000 0.5000 0.5000  4 Ho 3.56, 8 Y 3.56-3.57
Y 0.0000 0.5000 0.6995  8 Y 3.55-3.57, 4 Ho 3.56
Y 0.0000 0.5000 0.8987  2 Ho 3.56, 8 Y 3.56-3.59, 2 Pm 3.59
Y 0.5000 0.0000 0.1013  2 Ho 3.56, 8 Y 3.56-3.59, 2 Pm 3.59
Y 0.5000 0.0000 0.3005  8 Y 3.55-3.57, 4 Ho 3.56
Y 0.5000 0.0000 0.5000  4 Ho 3.56, 8 Y 3.56-3.57
Y 0.5000 0.0000 0.6995  8 Y 3.55-3.57, 4 Ho 3.56
Y 0.5000 0.0000 0.8987  2 Ho 3.56, 8 Y 3.56-3.59, 2 Pm 3.59
Y 0.5000 0.5000 0.0000  4 Pm 3.57, 8 Y 3.59
Y 0.5000 0.5000 0.2011  8 Y 3.55-3.56, 4 Ho 3.57
Y 0.5000 0.5000 0.4003  8 Y 3.56, 4 Ho 3.57
Y 0.5000 0.5000 0.5997  8 Y 3.56, 4 Ho 3.57
Y 0.5000 0.5000 0.7989  8 Y 3.55-3.56, 4 Ho 3.57
Ho 0.0000 0.0000 0.2008  12 Y 3.56-3.57
Ho 0.0000 0.0000 0.4003  12 Y 3.56-3.57
Ho 0.0000 0.0000 0.5997  12 Y 3.56-3.57
Ho 0.0000 0.0000 0.7992  12 Y 3.56-3.57

Calculated values
Raw total energy in eV/cell: -119.547
Calculated density in kg/m3: 5539
ΔE_f in meV/atom: 24


(4)
CsTeIO2 after structural relaxation, computed with GGA-PBE.

Cell: 4.4155 4.4155 8.4634 Å, 90.00 90.00 90.00°
With the nearest neighbours (Å) after each atom.
Atoms (fractional coordinates):
Cs 0.0000 0.0000 0.0000  4 O 2.21
Te 0.5000 0.5000 0.5000  4 I 3.12
I 0.0000 0.0000 0.5000  4 Te 3.12
O 0.0000 0.5000 0.0000  2 Cs 2.21
O 0.5000 0.0000 0.0000  2 Cs 2.21

Calculated values
Raw total energy in eV/cell: -12.979
Calculated density in kg/m3: 4221
Distance to the lowest polymorph of the same formula in eV per atom: 0.998
Formation energy from raw total energies in meV/atom: 496


(5)
PmDy4S6 after structural relaxation, computed with GGA-PBE.

Cell: 6.7211 6.7211 19.8873 Å, 90.00 90.00 146.60°
With the nearest neighbours (Å) after each atom.
Atoms (fractional coordinates):
Pm 0.1532 0.8468 0.7500  6 S 2.82-2.89
Pm 0.8468 0.1532 0.2500  6 S 2.82-2.89
Dy 0.0918 0.9082 0.1270  6 S 2.74-2.79
Dy 0.0918 0.9082 0.3730  6 S 2.74-2.79
Dy 0.3613 0.6387 0.0396  6 S 2.74-2.82
Dy 0.3613 0.6387 0.4604  6 S 2.74-2.82
Dy 0.6387 0.3613 0.5396  6 S 2.74-2.82
Dy 0.6387 0.3613 0.9604  6 S 2.74-2.82
Dy 0.9082 0.0918 0.6270  6 S 2.74-2.79
Dy 0.9082 0.0918 0.8730  6 S 2.74-2.79
S 0.0000 0.0000 0.0000  6 Dy 2.75-2.79
S 0.0000 0.0000 0.5000  6 Dy 2.75-2.79
S 0.1873 0.8127 0.2500  2 Dy 2.74, 2 Pm 2.82
S 0.2688 0.7312 0.5889  5 Dy 2.74-2.82
S 0.2688 0.7312 0.9111  5 Dy 2.74-2.82
S 0.4515 0.5485 0.1657  3 Dy 2.75-2.76, 2 Pm 2.89
S 0.4515 0.5485 0.3343  3 Dy 2.75-2.76, 2 Pm 2.89
S 0.5485 0.4515 0.6657  3 Dy 2.75-2.76, 2 Pm 2.89
S 0.5485 0.4515 0.8343  3 Dy 2.75-2.76, 2 Pm 2.89
S 0.7312 0.2688 0.0889  5 Dy 2.74-2.82
S 0.7312 0.2688 0.4111  5 Dy 2.74-2.82
S 0.8127 0.1873 0.7500  2 Dy 2.74, 2 Pm 2.82

Calculated values
Raw total energy in eV/cell: -140.906
Calculated density in kg/m3: 6631
Formation energy from raw total energies in meV/atom: -2048


(6)
PrErCdHg after structural relaxation, computed with GGA-PBE.

Cell: 3.7330 3.7330 7.7917 Å, 90.00 90.00 90.00°
With the nearest neighbours (Å) after each atom.
Atoms (fractional coordinates):
Pr 0.0000 0.0000 0.0000  4 Cd 3.39, 4 Hg 3.40, 4 Pr 3.73
Er 0.0000 0.0000 0.4940  4 Hg 3.14, 4 Cd 3.21
Cd 0.5000 0.5000 0.7276  4 Er 3.21, 4 Pr 3.39, 1 Hg 3.53
Hg 0.5000 0.5000 0.2751  4 Er 3.14, 4 Pr 3.40

Calculated values
Raw total energy in eV/cell: -12.140
Calculated density in kg/m3: 9500
Distance to the lowest polymorph of the same formula in eV per atom: 0.000
ΔE_f in meV/atom: -395


(7)
Sr2ReAs after structural relaxation, computed with GGA-PBE.

Cell: 6.1615 6.1615 6.1615 Å, 136.90 136.90 62.60°
With the nearest neighbours (Å) after each atom.
Atoms (fractional coordinates):
Sr 0.0000 0.0000 0.0000  4 Re 3.20, 4 As 3.47, 4 Sr 3.47
Sr 0.7500 0.2500 0.5000  4 As 3.20, 4 Re 3.47, 4 Sr 3.47
Re 0.5000 0.5000 0.0000  8 Sr 3.20-3.47, 4 As 3.47
As 0.2500 0.7500 0.5000  8 Sr 3.20-3.47, 4 Re 3.47

Calculated values
Raw total energy in eV/cell: -18.074
Calculated density in kg/m3: 6717
ΔE_f in meV/atom: 597


(8)
DyCoAgSn after structural relaxation, computed with GGA-PBE.

Cell: 4.7745 4.7745 4.7745 Å, 60.00 60.00 60.00°
With the nearest neighbours (Å) after each atom.
Atoms (fractional coordinates):
Dy 0.0000 0.0000 0.0000  4 Ag 2.92, 4 Co 2.92
Co 0.2500 0.2500 0.2500  4 Dy 2.92, 4 Sn 2.92
Ag 0.7500 0.7500 0.7500  4 Dy 2.92, 4 Sn 2.92
Sn 0.5000 0.5000 0.5000  4 Ag 2.92, 4 Co 2.92

Calculated values
Raw total energy in eV/cell: -19.351
Calculated density in kg/m3: 9667
ΔE_f in meV/atom: -197


(9)
Pm2NpScAs4 after structural relaxation, computed with GGA-PBE.

Cell: 7.1118 4.1164 7.1356 Å, 90.00 109.29 90.00°
With the nearest neighbours (Å) after each atom.
Atoms (fractional coordinates):
Pm 0.0000 0.0000 0.0000  6 As 2.99-3.00
Pm 0.5000 0.5000 0.0000  6 As 2.96
Np 0.0000 0.5000 0.5000  6 As 2.85-2.87
Sc 0.5000 0.0000 0.5000  6 As 2.82-2.83
As 0.2502 0.0000 0.7349  1 Sc 2.82, 2 Np 2.87, 3 Pm 2.96-2.99
As 0.2602 0.5000 0.2693  2 Sc 2.83, 1 Np 2.85, 3 Pm 2.96-3.00
As 0.7398 0.5000 0.7307  2 Sc 2.83, 1 Np 2.85, 3 Pm 2.96-3.00
As 0.7498 0.0000 0.2651  1 Sc 2.82, 2 Np 2.87, 3 Pm 2.96-2.99

Calculated values
Raw total energy in eV/cell: -57.375
Calculated density in kg/m3: 7341
ΔE_f in meV/atom: -1250


(10)
MgZr3Fe after structural relaxation, computed with GGA-PBE.

Cell: 4.8666 4.8666 4.8666 Å, 90.00 90.00 90.00°
With the nearest neighbours (Å) after each atom.
Atoms (fractional coordinates):
Mg 0.0000 0.0000 0.0000  12 Zr 3.44
Zr 0.0000 0.5000 0.5000  2 Fe 2.43
Zr 0.5000 0.0000 0.5000  2 Fe 2.43
Zr 0.5000 0.5000 0.0000  2 Fe 2.43
Fe 0.5000 0.5000 0.5000  6 Zr 2.43

Calculated values
Raw total energy in eV/cell: -34.616
Calculated density in kg/m3: 5098
Distance to the lowest polymorph of the same formula in eV per atom: 0.000
ΔE_f in meV/atom: 217


(11)
ZrTl4Tc after structural relaxation, computed with GGA-PBE.

Cell: 5.9813 5.9813 5.9813 Å, 60.00 60.00 60.00°
With the nearest neighbours (Å) after each atom.
Atoms (fractional coordinates):
Zr 0.0000 0.0000 0.0000  12 Tl 3.51, 4 Tc 3.66
Tl 0.3752 0.3752 0.3752  6 Tl 2.99
Tl 0.3752 0.3752 0.8745  6 Tl 2.99
Tl 0.3752 0.8745 0.3752  6 Tl 2.99
Tl 0.8745 0.3752 0.3752  6 Tl 2.99
Tc 0.7500 0.7500 0.7500  12 Tl 3.51, 4 Zr 3.66

Calculated values
Raw total energy in eV/cell: -22.833
Calculated density in kg/m3: 11049
ΔE_f in meV/atom: 924


(12)
SnP3N after structural relaxation, computed with GGA-PBE.

Cell: 4.2215 4.2215 4.2215 Å, 90.00 90.00 90.00°
With the nearest neighbours (Å) after each atom.
Atoms (fractional coordinates):
Sn 0.0000 0.0000 0.0000  12 P 2.99
P 0.0000 0.5000 0.5000  2 N 2.11
P 0.5000 0.0000 0.5000  2 N 2.11
P 0.5000 0.5000 0.0000  2 N 2.11
N 0.5000 0.5000 0.5000  6 P 2.11

Calculated values
Raw total energy in eV/cell: -24.402
Calculated density in kg/m3: 4980
Distance to the lowest polymorph of the same formula in eV per atom: 0.000
Formation energy from raw total energies in meV/atom: 831


(13)
HfCoRe3 after structural relaxation, computed with GGA-PBE.

Cell: 4.4383 4.4383 4.4383 Å, 90.00 90.00 90.00°
With the nearest neighbours (Å) after each atom.
Atoms (fractional coordinates):
Hf 0.0000 0.0000 0.0000  12 Re 3.14
Co 0.5000 0.5000 0.5000  6 Re 2.22
Re 0.0000 0.5000 0.5000  2 Co 2.22
Re 0.5000 0.0000 0.5000  2 Co 2.22
Re 0.5000 0.5000 0.0000  2 Co 2.22

Calculated values
Raw total energy in eV/cell: -48.857
Calculated density in kg/m3: 15120
Distance to the lowest polymorph of the same formula in eV per atom: 0.000
ΔE_f in meV/atom: 1109